VASP calculation (PBE-GGA) on crystalline Pm3Nd2Ho3 at its relaxed geometry.

The structure belongs to space group P2_1/m (No. 11); the cell edges are 5.626, 16.087 and 6.613 Å and the angles 90.00°, 114.98° and 90.00°. The asymmetric unit holds Pm at (0.077, 0.094, 0.153), Pm at (0.265, 0.250, 0.532), Nd at (0.220, 0.628, 0.440), Ho at (0.381, 0.050, 0.763) and Ho at (0.458, 0.750, 0.918).

Its total energy is -72.97 eV/cell. The value obtained for the excess energy over the best structure of this formula in the dataset is 0.111 eV per atom.

VASP calculation (PBE-GGA) on crystalline AgRu3I at its relaxed geometry.

The structure belongs to space group Pm-3m (No. 221); the cell edges are 4.824, 4.824 and 4.824 Å and the angles 90.00°, 90.00° and 90.00°. The asymmetric unit holds Ag at (0.000, 0.000, 0.000), Ru at (0.000, 0.500, 0.500) and I at (0.500, 0.500, 0.500).

Its total energy is -23.36 eV/cell. The value obtained for the excess energy over the best structure of this formula in the dataset is 0.000 eV per atom.

VASP calculation (PBE-GGA) on crystalline Pu2InN at its relaxed geometry.

The structure belongs to space group R3m (No. 160, hexagonal axes); the cell edges are 3.3643, 3.3643 and 25.9586 Å and the angles 90.00°, 90.00° and 120.00°. The asymmetric unit holds Pu at (0.0000, 0.0000, 0.0000), Pu at (0.0000, 0.0000, 0.2231), In at (0.0000, 0.0000, 0.4459) and N at (0.0000, 0.0000, 0.6114).

Its total energy is -126.62 eV/cell.

no.,magnetization (μB/f.u.)
1,0.0
2,3.5
3,0.1